1.
# Li3Ce2Ge4 | Alexandria via LeMat-Bulk | PBE-GGA | optimized geometry
data_Li3Ce2Ge4
_cell_length_a 5.9253
_cell_length_b 15.2233
_cell_length_c 7.6116
_cell_angle_alpha 90.00
_cell_angle_beta 90.00
_cell_angle_gamma 90.00
_symmetry_space_group_name_H-M 'C m c e'
_symmetry_Int_Tables_number 64
_symmetry_space_group_name_Hall '-C 2ac 2'
loop_
_atom_site_label
_atom_site_type_symbol
_atom_site_fract_x
_atom_site_fract_y
_atom_site_fract_z
Li1 Li 0.0000 0.0000 0.0000
Li2 Li 0.2500 0.2226 0.2500
Ce1 Ce 0.0000 0.1099 0.5893
Ge1 Ge 0.0000 0.1735 0.9741
Ge2 Ge 0.2500 0.0528 0.2500
# energy of formation = -462 meV per atom
# total energy = -4.471 eV per atom
# DOS at the Fermi energy = 10.27 states/eV/f.u.
# magnetic moment = 3.6 μB/cell


2.
# Pm2InRu | Alexandria via LeMat-Bulk | PBE-GGA | optimized geometry
data_Pm2InRu
_cell_length_a 5.1299
_cell_length_b 5.1299
_cell_length_c 3.7587
_cell_angle_alpha 90.00
_cell_angle_beta 90.00
_cell_angle_gamma 90.00
_symmetry_space_group_name_H-M 'P 4/m m m'
_symmetry_Int_Tables_number 123
_symmetry_space_group_name_Hall '-P 4 2'
loop_
_atom_site_label
_atom_site_type_symbol
_atom_site_fract_x
_atom_site_fract_y
_atom_site_fract_z
Pm1 Pm 0.0000 0.5000 0.0000
In1 In 0.0000 0.0000 0.5000
Ru1 Ru 0.5000 0.5000 0.5000
# energy of formation = -218 meV per atom
# energy relative to the lowest polymorph listed for this composition = 118 meV/atom
# total energy = -5.597 eV per atom
# DOS at the Fermi energy = 2.08 states/eV/f.u.
# magnetic moment = 0.0 μB/cell


3.
# MnPd4Pb | Alexandria via LeMat-Bulk | PBE-GGA | optimized geometry
data_MnPd4Pb
_cell_length_a 4.8604
_cell_length_b 8.7884
_cell_length_c 4.8422
_cell_angle_alpha 90.00
_cell_angle_beta 105.36
_cell_angle_gamma 90.00
_symmetry_space_group_name_H-M 'C 1 2/m 1'
_symmetry_Int_Tables_number 12
_symmetry_space_group_name_Hall '-C 2y'
loop_
_atom_site_label
_atom_site_type_symbol
_atom_site_fract_x
_atom_site_fract_y
_atom_site_fract_z
Mn1 Mn 0.0000 0.0000 0.0000
Pd1 Pd 0.0000 0.1618 0.5000
Pd2 Pd 0.0000 0.3326 0.0000
Pb1 Pb 0.0000 0.5000 0.5000
# energy of formation = -197 meV per atom
# energy relative to the lowest polymorph listed for this composition = 12 meV/atom
# total energy = -5.805 eV per atom
# DOS at the Fermi energy = 2.81 states/eV/f.u.
# magnetic moment = 8.7 μB/cell


Look up the DOS at the Fermi energy of the first one.
10.27 states/eV/f.u.


The lowest energy of formation belongs to which entry?
Li3Ce2Ge4


Which value of magnetic moment does entry 2 give?
0.0 μB/cell